The following is a DFT calculation (PBE-GGA) of crystalline NaPmEuSi at its relaxed geometry.

The structure belongs to space group F-43m (No. 216); the cell edges are 7.505, 7.505 and 7.505 Å and the angles 90.00°, 90.00° and 90.00°. The inequivalent atoms are Na at (0.000, 0.000, 0.000), Pm at (0.250, 0.250, 0.250), Eu at (0.250, 0.250, 0.750) and Si at (0.000, 0.000, 0.500).

As for the volume: 26.42 Å³ per atom. The crystal system is cubic. The formation energy (no corrections) comes out at -152 meV/atom.

=====

The following is a DFT calculation (PBE-GGA) of crystalline TbPrNdAl at its relaxed geometry.

The structure belongs to space group F-43m (No. 216); the cell edges are 7.755, 7.755 and 7.755 Å and the angles 90.00°, 90.00° and 90.00°. The inequivalent atoms are Tb at (0.000, 0.000, 0.000), Pr at (0.250, 0.250, 0.750), Nd at (0.250, 0.250, 0.250) and Al at (0.000, 0.000, 0.500).

As for the volume: 29.15 Å³ per atom. The crystal system is cubic. Its total energy is -4.53 eV/atom.

=====

The following is a DFT calculation (PBE-GGA) of crystalline Ho2GaB2Ru5 at its relaxed geometry.

The structure belongs to space group P4/mbm (No. 127); the cell edges are 9.558, 9.558 and 3.117 Å and the angles 90.00°, 90.00° and 90.00°. The inequivalent atoms are Ho at (0.176, 0.324, 0.000), Ga at (0.000, 0.000, 0.000), B at (0.124, 0.624, 0.000), Ru at (0.000, 0.500, 0.500) and Ru at (0.069, 0.782, 0.500).

As for the volume: 14.24 Å³ per atom. The crystal system is tetragonal. Its total energy is -7.67 eV/atom.

=====

The following is a DFT calculation (PBE-GGA) of crystalline Ce5SiSn3 at its relaxed geometry.

The structure belongs to space group P6_3/mcm (No. 193); the cell edges are 9.5009, 9.5009 and 6.3901 Å and the angles 90.00°, 90.00° and 120.00°. The inequivalent atoms are Ce at (0.0000, 0.2573, 0.2500), Ce at (0.3333, 0.6667, 0.0000), Si at (0.0000, 0.0000, 0.0000) and Sn at (0.0000, 0.3846, 0.7500).

As for the volume: 27.75 Å³ per atom. The crystal system is hexagonal. The formation energy (no corrections) comes out at -636 meV/atom.

=====

The following is a DFT calculation (PBE-GGA) of crystalline SmHoBiO2 at its relaxed geometry.

The structure belongs to space group I4mm (No. 107); the cell edges are 3.921, 3.921 and 13.706 Å and the angles 90.00°, 90.00° and 90.00°. The inequivalent atoms are Sm at (0.000, 0.000, 0.000), Ho at (0.000, 0.000, 0.335), Bi at (0.000, 0.000, 0.669) and O at (0.000, 0.500, 0.413).

As for the volume: 21.07 Å³ per atom. The crystal system is tetragonal. The formation energy (no corrections) comes out at -2651 meV/atom.

=====

The following is a DFT calculation (PBE-GGA) of crystalline CaLaBe2P at its relaxed geometry.

The structure belongs to space group P4/mmm (No. 123); the cell edges are 4.836, 4.836 and 5.091 Å and the angles 90.00°, 90.00° and 90.00°. The inequivalent atoms are Ca at (0.000, 0.000, 0.000), La at (0.500, 0.500, 0.500), Be at (0.000, 0.500, 0.000) and P at (0.000, 0.000, 0.500).

As for the volume: 23.81 Å³ per atom. The crystal system is tetragonal. Its total energy is -3.31 eV/atom.